Entry 1:
NaSiAu3: single point on PBEsol structure, meta-GGA SCAN.

Results
As for the symmetry: Pa-3, No. 205. The calculation puts the total energy at -44.713 eV/atom. The value obtained for the offset from the most stable computed form is 0 meV/atom. The uncorrected formation energy is -36 kJ per mole of atoms.

POSCAR file:
```
NaSiAu3
1.0
-0.651 -4.003 7.883
6.662 -5.418 -2.201
5.812 5.762 3.406
Na Si Au
8 8 24
Cartesian
1.137 -0.352 0.874
9.223 -3.078 3.224
7.555 0.634 6.889
5.730 -4.520 7.188
10.686 -3.306 8.214
2.600 -0.580 5.863
4.267 -4.292 2.199
6.092 0.862 1.899
7.998 -3.057 0.300
2.656 -4.896 6.510
7.325 -2.267 5.630
6.157 -6.561 3.353
3.825 -0.602 8.787
9.166 1.238 2.577
4.498 -1.392 3.457
5.666 2.903 5.734
6.579 -4.189 4.307
5.401 -1.484 6.929
4.248 -6.009 5.016
10.875 -0.551 3.350
4.692 1.431 7.433
9.806 -1.568 5.904
7.871 -2.208 8.163
3.906 -3.175 5.030
5.555 -3.525 -0.425
4.737 3.155 3.328
3.041 -2.753 7.916
5.244 0.531 4.781
7.131 -5.089 1.654
6.422 -2.174 2.158
7.575 2.351 4.072
0.948 -3.107 5.737
8.782 -0.905 1.172
7.085 -6.813 5.759
6.268 -0.133 9.513
7.917 -0.484 4.058
3.951 -1.450 0.925
2.017 -2.090 3.184
3.123 0.728 2.880
8.700 -4.386 6.208
```

***

Entry 2:
Na2Si2Au: single point on PBEsol structure, meta-GGA SCAN.

Results
As for the symmetry: P4/mbm, No. 127. The calculation puts the total energy at -19.787 eV/atom. The value obtained for the offset from the most stable computed form is 0 meV/atom. The uncorrected formation energy is -25 kJ per mole of atoms.

POSCAR file:
```
Na2Si2Au
1.0
4.901 0.000 0.000
0.000 6.295 0.000
0.000 0.000 6.295
Na Si Au
4 4 2
Cartesian
2.450 1.119 4.267
2.450 4.267 5.175
2.450 5.175 2.028
2.450 2.028 1.119
0.000 2.327 5.474
0.000 5.474 3.968
0.000 3.968 0.821
0.000 0.821 2.327
0.000 0.000 0.000
0.000 3.147 3.147
```

***

Entry 3:
NaSiAu3: single point on PBEsol structure, meta-GGA SCAN.

Results
As for the symmetry: Pm-3m, No. 221. The calculation puts the total energy at -43.196 eV/atom. The value obtained for the offset from the most stable computed form is 1517 meV/atom. The uncorrected formation energy is 110 kJ per mole of atoms.

POSCAR file:
```
NaSiAu3
1.0
4.780 0.000 0.000
0.000 4.780 0.000
0.000 0.000 4.780
Na Si Au
1 1 3
Cartesian
0.000 0.000 0.000
2.390 2.390 2.390
0.000 2.390 0.000
0.000 0.000 2.390
2.390 0.000 0.000
```

***

Entry 4:
Na2SiAu: single point on PBEsol structure, meta-GGA SCAN.

Results
As for the symmetry: I4_1/amd, No. 141. The calculation puts the total energy at -22.009 eV/atom. The uncorrected formation energy is -10 kJ per mole of atoms.

POSCAR file:
```
Na2SiAu
1.0
-4.288 1.485 -0.231
-4.538 -6.525 -2.391
-3.256 -1.283 7.525
Na Si Au
4 2 2
Cartesian
-5.700 -0.653 1.082
-7.453 -5.300 3.765
-7.329 -1.295 4.844
-7.969 -3.916 -0.114
-2.144 0.742 -0.115
-4.969 -3.533 2.510
0.000 0.000 0.000
-7.113 -2.791 2.394
```

***

Entry 5:
Na2Si2Au: single point on PBEsol structure, meta-GGA SCAN.

Results
As for the symmetry: I4/mmm, No. 139. The calculation puts the total energy at -19.211 eV/atom. The value obtained for the offset from the most stable computed form is 576 meV/atom. The uncorrected formation energy is 30 kJ per mole of atoms.

POSCAR file:
```
Na2Si2Au
1.0
-0.731 -1.568 -3.419
1.212 -3.395 1.298
-6.269 1.070 2.997
Na Si Au
2 2 1
Cartesian
-2.408 -2.403 1.617
-3.380 -1.490 -0.741
-5.011 -1.173 1.609
-0.777 -2.720 -0.734
0.000 0.000 0.000
```

***

Entry 6:
NaZrSiAu2: single point on PBEsol structure, meta-GGA SCAN.

Results
As for the symmetry: P4/mmm, No. 123. The calculation puts the total energy at -35.515 eV/atom. The uncorrected formation energy is 109 kJ per mole of atoms.

POSCAR file:
```
NaZrSiAu2
1.0
-1.792 4.133 -0.798
-4.104 -1.522 1.331
1.035 1.366 4.752
Na Si Au Zr
1 1 2 1
Cartesian
0.000 0.000 0.000
-2.430 1.989 2.643
-2.052 -0.761 0.666
-0.896 2.066 -0.399
0.517 0.683 2.376
```

***

Entry 7:
NaSnAu3: single point on PBEsol structure, meta-GGA SCAN.

Results
As for the symmetry: Pm-3m, No. 221. The calculation puts the total energy at -48.855 eV/atom. The value obtained for the energy of formation is 64.3 kJ per mole of atoms.

POSCAR file:
```
NaSnAu3
1.0
4.866 0.000 0.000
0.000 4.866 0.000
0.000 0.000 4.866
Na Au Sn
1 3 1
Cartesian
0.000 0.000 0.000
0.000 2.433 0.000
0.000 0.000 2.433
2.433 0.000 0.000
2.433 2.433 2.433
```

***

Entry 8:
NaSnAu: single point on PBEsol structure, meta-GGA SCAN.

Results
As for the symmetry: Pnma, No. 62. The calculation puts the total energy at -36.918 eV/atom. The value obtained for the energy of formation is -47.0 kJ per mole of atoms.

POSCAR file:
```
NaSnAu
1.0
-3.670 -2.003 1.846
-1.735 -2.948 -6.647
4.408 -6.485 1.725
Na Sn Au
4 4 4
Cartesian
-0.819 -9.768 -3.740
-0.627 -7.300 -0.681
-0.370 -4.136 -2.396
-0.179 -1.668 0.664
-3.051 -2.919 -0.745
-2.289 -6.791 -3.431
1.291 -4.645 0.355
2.053 -8.517 -2.331
2.448 -7.070 0.023
-3.445 -4.366 -3.099
-1.438 -4.569 0.670
0.440 -6.867 -3.747
```

***

Entry 9:
Na2SrAu2: single point on PBEsol structure, meta-GGA SCAN.

Results
As for the symmetry: I4/mmm, No. 139. The calculation puts the total energy at -34.385 eV/atom. The value obtained for the energy of formation is -56.1 kJ per mole of atoms.

POSCAR file:
```
Na2SrAu2
1.0
-2.274 1.485 3.323
-1.163 -4.009 0.995
7.301 0.658 1.930
Sr Au Na
1 2 2
Cartesian
0.000 0.000 0.000
4.498 -0.487 3.295
-0.633 -1.380 2.954
2.210 -2.307 2.542
1.655 0.440 3.706
```

***

Entry 10:
NaSr3Au: single point on PBEsol structure, meta-GGA SCAN.

Results
As for the symmetry: Pm-3m, No. 221. The calculation puts the total energy at -28.463 eV/atom. The value obtained for the energy of formation is -40.9 kJ per mole of atoms.

POSCAR file:
```
NaSr3Au
1.0
6.062 0.000 0.000
0.000 6.062 0.000
0.000 0.000 6.062
Sr Au Na
3 1 1
Cartesian
0.000 3.031 0.000
0.000 0.000 3.031
3.031 0.000 0.000
0.000 0.000 0.000
3.031 3.031 3.031
```

***

Entry 11:
Na2SrTlAu: single point on PBEsol structure, meta-GGA SCAN.

Results
As for the symmetry: P4/mmm, No. 123. The calculation puts the total energy at -33.552 eV/atom. The value obtained for the energy of formation is 86.1 kJ per mole of atoms.

POSCAR file:
```
Na2SrTlAu
1.0
5.993 0.000 0.000
0.000 6.263 0.000
0.000 0.000 6.263
Sr Tl Au Na
1 1 1 2
Cartesian
0.000 0.000 0.000
2.997 0.000 0.000
2.997 3.132 3.132
0.000 0.000 3.132
0.000 3.132 0.000
```

***

Entry 12:
NaSrZrAu2: single point on PBEsol structure, meta-GGA SCAN.

Results
As for the symmetry: P4/mmm, No. 123. The calculation puts the total energy at -38.815 eV/atom. The value obtained for the energy of formation is 27.5 kJ per mole of atoms.

POSCAR file:
```
NaSrZrAu2
1.0
-2.820 -1.326 -4.154
2.411 -4.596 -0.170
-4.017 -2.234 3.440
Sr Au Zr Na
1 2 1 1
Cartesian
-2.008 -1.117 1.720
1.206 -2.298 -0.085
-1.410 -0.663 -2.077
0.000 0.000 0.000
-2.213 -4.078 -0.442
```